Below is crystalline YMo3F at its relaxed geometry, with properties calculated at the PBE+U level.

Cell: 4.5675 4.5675 4.5675 Å, 90.00 90.00 90.00°
Space group Pm-3m (No. 221)
Asymmetric unit:
1 Y 0.0000 0.0000 0.0000 (multiplicity 1)
2 Mo 0.0000 0.5000 0.5000 (multiplicity 3)
3 F 0.5000 0.5000 0.5000 (multiplicity 1)

## Properties
energy: -4.923 eV/atom